(1)
First-principles (PBE) data for a relaxed structure of LiCl2, as listed in the Alexandria database.

Cell lengths 4.347, 7.493, 10.410 Å; angles 90.00, 90.00, 90.00 degrees
Sites, in units of the cell vectors:
Cl1 0.250 0.986 0.471
Li1 0.250 0.097 0.067
Cl2 0.750 0.543 0.364
Li2 0.750 0.903 0.933
Cl3 0.750 0.014 0.529
Li3 0.750 0.403 0.567
Cl4 0.250 0.457 0.636
Cl5 0.750 0.514 0.971
Li4 0.250 0.597 0.433
Cl6 0.250 0.957 0.864
Cl7 0.750 0.043 0.136
Cl8 0.250 0.486 0.029

Properties
For the formation energy from raw total energies, the calculation gives -3.23 eV per formula unit. The total magnetization comes out at 0.0 μB/cell.

(2)
First-principles (PBE) data for a relaxed structure of TlCrPb2, as listed in the Alexandria database.

Cell lengths 6.049, 6.049, 5.706 Å; angles 73.06, 73.06, 33.00 degrees
Site moments in Bohr magnetons follow the coordinates.
Sites, in units of the cell vectors:
Pb1 0.525 0.525 0.480  0.00
Tl1 0.750 0.750 0.750  0.01
Pb2 0.975 0.975 0.020  0.00
Cr1 0.250 0.250 0.250  3.88

Properties
The total magnetization comes out at 4.4 μB/cell. As for the energy of formation from the pure elements: 0.388 eV per atom. For the density of states at the Fermi level, the calculation gives 2.3 states/eV/cell.

(3)
First-principles (PBE) data for a relaxed structure of I2Br, as listed in the Alexandria database.

Cell lengths 6.490, 6.784, 8.341 Å; angles 98.02, 93.61, 90.67 degrees
Sites, in units of the cell vectors:
I1 0.937 0.975 0.969
I2 0.027 0.564 0.714
Br1 0.094 0.210 0.566
I3 0.348 0.893 0.141
Br2 0.575 0.052 0.832
I4 0.190 0.756 0.415

Properties
For the formation energy from raw total energies, the calculation gives -0.04 eV per formula unit. The total magnetization comes out at 0.0 μB/cell. For the density of states at the Fermi level, the calculation gives 0.0 states/eV/cell.

(4)
First-principles (PBE) data for a relaxed structure of LaGdBi, as listed in the Alexandria database.

Cell lengths 4.194, 4.194, 6.242 Å; angles 109.63, 109.63, 90.00 degrees
Site moments in Bohr magnetons follow the coordinates.
Sites, in units of the cell vectors:
Gd1 0.931 0.931 0.863  7.31
Bi1 0.292 0.292 0.584  -0.04
La1 0.627 0.627 0.253  0.20

Properties
The total magnetization comes out at 8.2 μB/cell. As for the energy of formation from the pure elements: -0.563 eV per atom. For the density of states at the Fermi level, the calculation gives 3.3 states/eV/cell.

Quick rundown of relative energy among the computed polymorphs, same order as above: 0.1161, 0.0966, 0.0233, 0.0000 eV per atom